Entry 1:
TbWO5: relaxed, GGA+U.

**DOS at the Fermi energy**: 4.9 states/eV per cell
**Distance to the lowest polymorph of the same formula**: 0.000 eV/atom
**Total moment**: 1.030 μB per formula unit

Lattice parameters (Å, degrees): 5.594 5.594 7.674 109.87 109.87 71.13
Atoms (fractional coordinates):
Tb 0.050 0.950 0.750
Tb 0.950 0.050 0.250
W 0.500 0.500 0.000
W 0.500 0.500 0.500
O 0.199 0.783 0.038
O 0.217 0.801 0.462
O 0.254 0.287 0.384
O 0.287 0.254 0.884
O 0.423 0.577 0.750
O 0.577 0.423 0.250
O 0.713 0.746 0.116
O 0.746 0.713 0.616
O 0.783 0.199 0.538
O 0.801 0.217 0.962

=====

Entry 2:
TbW4O12: relaxed, GGA+U.

**DOS at the Fermi energy**: 2.6 states/eV per cell
**Electronic total energy**: -7.659 eV/atom
**Total moment**: 3.000 μB per formula unit

Lattice parameters (Å, degrees): 6.710 6.710 6.710 111.53 108.55 108.36
Atoms (fractional coordinates):
Tb 0.000 0.000 0.000
W 0.000 0.000 0.500
W 0.000 0.500 0.000
W 0.500 0.000 0.000
W 0.500 0.500 0.500
O 0.004 0.710 0.294
O 0.239 0.196 0.435
O 0.239 0.804 0.043
O 0.244 0.048 0.804
O 0.244 0.440 0.196
O 0.417 0.710 0.706
O 0.583 0.290 0.294
O 0.756 0.560 0.804
O 0.756 0.952 0.196
O 0.761 0.196 0.957
O 0.761 0.804 0.565
O 0.996 0.290 0.706

=====

Entry 3:
TbWO5: relaxed, GGA+U.

**Distance to the lowest polymorph of the same formula**: 0.023 eV/atom
**Total moment**: 1.053 μB per formula unit

Lattice parameters (Å, degrees): 5.324 12.792 7.072 90.00 116.91 90.00
Atoms (fractional coordinates):
Tb 0.137 0.053 0.289
Tb 0.137 0.447 0.789
Tb 0.863 0.553 0.211
Tb 0.863 0.947 0.711
W 0.369 0.140 0.857
W 0.369 0.360 0.357
W 0.631 0.640 0.643
W 0.631 0.860 0.143
O 0.043 0.095 0.576
O 0.043 0.405 0.076
O 0.140 0.082 0.963
O 0.140 0.418 0.463
O 0.294 0.625 0.407
O 0.294 0.875 0.907
O 0.319 0.221 0.323
O 0.319 0.279 0.823
O 0.496 0.065 0.674
O 0.496 0.435 0.174
O 0.504 0.565 0.826
O 0.504 0.935 0.326
O 0.681 0.721 0.177
O 0.681 0.779 0.677
O 0.706 0.125 0.093
O 0.706 0.375 0.593
O 0.860 0.582 0.537
O 0.860 0.918 0.037
O 0.957 0.595 0.924
O 0.957 0.905 0.424

=====

Entry 4:
Tb5W2O12: relaxed, GGA+U.

**Electronic total energy**: -8.156 eV/atom
**Total moment**: 1.000 μB per formula unit

Lattice parameters (Å, degrees): 6.877 6.877 7.642 106.29 106.29 49.87
Atoms (fractional coordinates):
Tb 0.000 0.000 0.000
Tb 0.304 0.304 0.139
Tb 0.313 0.313 0.678
Tb 0.687 0.687 0.322
Tb 0.696 0.696 0.861
W 0.219 0.781 0.500
W 0.781 0.219 0.500
O 0.002 0.002 0.294
O 0.091 0.579 0.415
O 0.097 0.592 0.926
O 0.408 0.903 0.074
O 0.421 0.909 0.585
O 0.500 0.500 0.320
O 0.500 0.500 0.680
O 0.579 0.091 0.415
O 0.592 0.097 0.926
O 0.903 0.408 0.074
O 0.909 0.421 0.585
O 0.998 0.998 0.706

=====

Entry 5:
Tb2WO6: relaxed, GGA+U.

**DOS at the Fermi energy**: 0.0 states/eV per cell
**Distance to the lowest polymorph of the same formula**: 0.000 eV/atom
**Total moment**: 0.000 μB per formula unit

Lattice parameters (Å, degrees): 5.305 9.197 10.035 90.00 90.00 90.00
Atoms (fractional coordinates):
Tb 0.018 0.104 0.465
Tb 0.039 0.219 0.871
Tb 0.461 0.781 0.371
Tb 0.482 0.896 0.965
Tb 0.518 0.396 0.535
Tb 0.539 0.281 0.129
Tb 0.961 0.719 0.629
Tb 0.982 0.604 0.035
W 0.039 0.496 0.349
W 0.461 0.504 0.849
W 0.539 0.004 0.651
W 0.961 0.996 0.151
O 0.087 0.844 0.031
O 0.173 0.952 0.298
O 0.181 0.637 0.819
O 0.191 0.641 0.237
O 0.231 0.115 0.068
O 0.247 0.589 0.494
O 0.253 0.411 0.994
O 0.269 0.885 0.568
O 0.309 0.359 0.737
O 0.319 0.363 0.319
O 0.327 0.048 0.798
O 0.413 0.156 0.531
O 0.587 0.656 0.969
O 0.673 0.548 0.702
O 0.681 0.863 0.181
O 0.691 0.859 0.763
O 0.731 0.385 0.932
O 0.747 0.911 0.506
O 0.753 0.089 0.006
O 0.769 0.615 0.432
O 0.809 0.141 0.263
O 0.819 0.137 0.681
O 0.827 0.452 0.202
O 0.913 0.344 0.469

=====

Entry 6:
Tb2WO6: relaxed, GGA+U.

**DOS at the Fermi energy**: 0.0 states/eV per cell
**Distance to the lowest polymorph of the same formula**: 0.001 eV/atom
**Total moment**: 0.000 μB per formula unit

Lattice parameters (Å, degrees): 5.599 16.244 10.699 90.00 90.00 90.00
Atoms (fractional coordinates):
Tb 0.050 0.229 0.144
Tb 0.050 0.271 0.644
Tb 0.102 0.061 0.359
Tb 0.102 0.439 0.859
Tb 0.398 0.561 0.359
Tb 0.398 0.939 0.859
Tb 0.450 0.729 0.144
Tb 0.450 0.771 0.644
Tb 0.550 0.229 0.356
Tb 0.550 0.271 0.856
Tb 0.602 0.061 0.141
Tb 0.602 0.439 0.641
Tb 0.898 0.561 0.141
Tb 0.898 0.939 0.641
Tb 0.950 0.729 0.356
Tb 0.950 0.771 0.856
W 0.112 0.121 0.878
W 0.112 0.379 0.378
W 0.388 0.621 0.878
W 0.388 0.879 0.378
W 0.612 0.121 0.622
W 0.612 0.379 0.122
W 0.888 0.621 0.622
W 0.888 0.879 0.122
O 0.076 0.022 0.787
O 0.076 0.478 0.287
O 0.093 0.608 0.489
O 0.093 0.892 0.989
O 0.119 0.573 0.957
O 0.119 0.927 0.457
O 0.159 0.672 0.732
O 0.159 0.828 0.232
O 0.176 0.645 0.230
O 0.176 0.855 0.730
O 0.182 0.232 0.941
O 0.182 0.268 0.441
O 0.318 0.732 0.941
O 0.318 0.768 0.441
O 0.324 0.145 0.230
O 0.324 0.355 0.730
O 0.341 0.172 0.732
O 0.341 0.328 0.232
O 0.381 0.073 0.957
O 0.381 0.427 0.457
O 0.407 0.108 0.489
O 0.407 0.392 0.989
O 0.424 0.522 0.787
O 0.424 0.978 0.287
O 0.576 0.022 0.713
O 0.576 0.478 0.213
O 0.593 0.608 0.011
O 0.593 0.892 0.511
O 0.619 0.573 0.543
O 0.619 0.927 0.043
O 0.659 0.672 0.768
O 0.659 0.828 0.268
O 0.676 0.645 0.270
O 0.676 0.855 0.770
O 0.682 0.232 0.559
O 0.682 0.268 0.059
O 0.818 0.732 0.559
O 0.818 0.768 0.059
O 0.824 0.145 0.270
O 0.824 0.355 0.770
O 0.841 0.172 0.768
O 0.841 0.328 0.268
O 0.881 0.073 0.543
O 0.881 0.427 0.043
O 0.907 0.108 0.011
O 0.907 0.392 0.511
O 0.924 0.522 0.713
O 0.924 0.978 0.213

=====

Entry 7:
Tb2YWO8: relaxed, GGA+U.

**DOS at the Fermi energy**: 7.6 states/eV per cell
**Electronic total energy**: -8.048 eV/atom
**Total moment**: 0.924 μB per formula unit

Lattice parameters (Å, degrees): 5.081 6.848 5.082 90.00 90.78 90.00
Atoms (fractional coordinates):
Tb 0.000 0.250 0.000
Tb 0.000 0.750 0.000
Y 0.500 0.000 0.500
W 0.500 0.500 0.500
O 0.193 0.000 0.194
O 0.226 0.500 0.227
O 0.318 0.288 0.683
O 0.318 0.712 0.683
O 0.682 0.288 0.317
O 0.682 0.712 0.317
O 0.774 0.500 0.773
O 0.807 0.000 0.806